A plane-wave DFT calculation with PBE was carried out for a geometry-optimized K2SrP structure.

a b c (Å): 4.4792 4.1917 10.0332
angles (deg): 90.00 102.70 90.00
Sites, in units of the cell vectors:
K: 0.0000 0.0000 0.0000
K: 0.3009 0.5000 0.6115
Sr: 0.6480 0.5000 0.3017
P: 0.1653 0.0000 0.3373

Calculated values
Symmetry: Pm (6)
Energy of formation from the pure elements in eV per atom: -0.4076
Total energy in eV/f.u.: -10.92
Total magnetic moment in μB per formula unit: 0.00

A plane-wave DFT calculation with PBE was carried out for a geometry-optimized NiBiAu structure.

a b c (Å): 5.9625 5.9625 5.9625
angles (deg): 148.21 148.21 45.58
Sites, in units of the cell vectors:
Ni: 0.0000 0.0000 0.0000
Bi: 0.3522 0.3522 0.0000
Au: 0.6328 0.6328 0.0000

Calculated values
Symmetry: I4mm (107)
Energy of formation from the pure elements in eV per atom: 0.1407
Total energy in eV/f.u.: -12.52
Distance to the lowest polymorph of the same formula in kJ/mol of atoms: 11.4
Total magnetic moment in μB per formula unit: 0.00

A plane-wave DFT calculation with PBE was carried out for a geometry-optimized TiCr structure.

a b c (Å): 2.8024 4.0397 5.0832
angles (deg): 90.00 102.65 90.00
Sites, in units of the cell vectors:
Ti: 0.1493 0.2500 0.3582
Ti: 0.8507 0.7500 0.6418
Cr: 0.3996 0.7500 0.1054
Cr: 0.6004 0.2500 0.8946

Calculated values
Symmetry: P2_1/m (11)
Energy of formation from the pure elements in eV per atom: 0.0725
Total energy in eV/f.u.: -17.37
Total magnetic moment in μB per formula unit: 0.00